# 1
Entry from Alexandria: crystalline LaPuHgRh at its relaxed geometry (PBE).

Computed properties:
Calculated volume   99.5 Å³/f.u.
Formation enthalpy at 0 K   -318 meV/atom
Total energy   -112.734 eV per cell

Cell: 7.355 7.355 7.355 Å, 90.00 90.00 90.00°
Sites, in units of the cell vectors:
La  0.000  0.000  0.000
La  0.000  0.500  0.500
La  0.500  0.000  0.500
La  0.500  0.500  0.000
Pu  0.000  0.000  0.500
Pu  0.000  0.500  0.000
Pu  0.500  0.000  0.000
Pu  0.500  0.500  0.500
Hg  0.250  0.250  0.250
Hg  0.250  0.750  0.750
Hg  0.750  0.250  0.750
Hg  0.750  0.750  0.250
Rh  0.250  0.250  0.750
Rh  0.250  0.750  0.250
Rh  0.750  0.250  0.250
Rh  0.750  0.750  0.750



# 2
Entry from Alexandria: crystalline LaPuHgRu at its relaxed geometry (PBE).

Computed properties:
Calculated volume   97.4 Å³/f.u.
Formation enthalpy at 0 K   -77 meV/atom
Total energy   -116.583 eV per cell

Cell: 7.305 7.305 7.305 Å, 90.00 90.00 90.00°
Sites, in units of the cell vectors:
La  0.000  0.000  0.000
La  0.000  0.500  0.500
La  0.500  0.000  0.500
La  0.500  0.500  0.000
Pu  0.000  0.000  0.500
Pu  0.000  0.500  0.000
Pu  0.500  0.000  0.000
Pu  0.500  0.500  0.500
Hg  0.250  0.250  0.750
Hg  0.250  0.750  0.250
Hg  0.750  0.250  0.250
Hg  0.750  0.750  0.750
Ru  0.250  0.250  0.250
Ru  0.250  0.750  0.750
Ru  0.750  0.250  0.750
Ru  0.750  0.750  0.250



# 3
Entry from Alexandria: crystalline LaPuHgSb at its relaxed geometry (PBE).

Computed properties:
Calculated volume   114.7 Å³/f.u.
E_form (uncorrected)   -0.537 eV/atom
Total energy   -103.328 eV per cell

Cell: 7.712 7.712 7.712 Å, 90.00 90.00 90.00°
Sites, in units of the cell vectors:
La  0.000  0.000  0.000
La  0.000  0.500  0.500
La  0.500  0.000  0.500
La  0.500  0.500  0.000
Pu  0.000  0.000  0.500
Pu  0.000  0.500  0.000
Pu  0.500  0.000  0.000
Pu  0.500  0.500  0.500
Hg  0.250  0.250  0.250
Hg  0.250  0.750  0.750
Hg  0.750  0.250  0.750
Hg  0.750  0.750  0.250
Sb  0.250  0.250  0.750
Sb  0.250  0.750  0.250
Sb  0.750  0.250  0.250
Sb  0.750  0.750  0.750



# 4
Entry from Alexandria: crystalline La2PuHgSe5 at its relaxed geometry (PBE).

Computed properties:
Calculated volume   241.4 Å³/f.u.
E_form (uncorrected)   -1.466 eV/atom
Total energy   -110.204 eV per cell

Cell: 9.198 9.198 12.738 Å, 90.00 90.00 153.39°
Sites, in units of the cell vectors:
La  0.120  0.880  0.500
La  0.131  0.869  0.122
La  0.869  0.131  0.622
La  0.880  0.120  0.000
Pu  0.197  0.803  0.821
Pu  0.803  0.197  0.321
Hg  0.455  0.545  0.277
Hg  0.545  0.455  0.777
Se  0.043  0.957  0.901
Se  0.292  0.708  0.480
Se  0.307  0.693  0.158
Se  0.359  0.641  0.815
Se  0.497  0.503  0.584
Se  0.503  0.497  0.084
Se  0.641  0.359  0.315
Se  0.693  0.307  0.658
Se  0.708  0.292  0.980
Se  0.957  0.043  0.401



# 5
Entry from Alexandria: crystalline LaPuSiHg at its relaxed geometry (PBE).

Computed properties:
Calculated volume   104.1 Å³/f.u.
E_form (uncorrected)   -0.304 eV/atom
Total energy   -104.804 eV per cell

Cell: 7.468 7.468 7.468 Å, 90.00 90.00 90.00°
Sites, in units of the cell vectors:
La  0.000  0.000  0.000
La  0.000  0.500  0.500
La  0.500  0.000  0.500
La  0.500  0.500  0.000
Pu  0.000  0.000  0.500
Pu  0.000  0.500  0.000
Pu  0.500  0.000  0.000
Pu  0.500  0.500  0.500
Si  0.250  0.250  0.750
Si  0.250  0.750  0.250
Si  0.750  0.250  0.250
Si  0.750  0.750  0.750
Hg  0.250  0.250  0.250
Hg  0.250  0.750  0.750
Hg  0.750  0.250  0.750
Hg  0.750  0.750  0.250



# 6
Entry from Alexandria: crystalline LaPuSnHg at its relaxed geometry (PBE).

Computed properties:
Calculated volume   115.6 Å³/f.u.
Formation enthalpy at 0 K   -422 meV/atom
Total energy   -101.008 eV per cell

Cell: 7.733 7.733 7.733 Å, 90.00 90.00 90.00°
Sites, in units of the cell vectors:
La  0.000  0.000  0.000
La  0.000  0.500  0.500
La  0.500  0.000  0.500
La  0.500  0.500  0.000
Pu  0.000  0.000  0.500
Pu  0.000  0.500  0.000
Pu  0.500  0.000  0.000
Pu  0.500  0.500  0.500
Sn  0.250  0.250  0.250
Sn  0.250  0.750  0.750
Sn  0.750  0.250  0.750
Sn  0.750  0.750  0.250
Hg  0.250  0.250  0.750
Hg  0.250  0.750  0.250
Hg  0.750  0.250  0.250
Hg  0.750  0.750  0.750



# 7
Entry from Alexandria: crystalline LaPuSnHg at its relaxed geometry (PBE).

Computed properties:
Calculated volume   111.1 Å³/f.u.
Formation enthalpy at 0 K   -409 meV/atom
Total energy   -25.202 eV per cell

Cell: 3.520 3.520 8.962 Å, 90.00 90.00 90.00°
Sites, in units of the cell vectors:
La  0.000  0.000  0.000
Pu  0.000  0.000  0.499
Sn  0.500  0.500  0.257
Hg  0.500  0.500  0.743



# 8
Entry from Alexandria: crystalline RbLa2Hg2 at its relaxed geometry (PBE).

Computed properties:
Calculated volume   167.6 Å³/f.u.
Formation enthalpy at 0 K   -207 meV/atom
Total energy   -24.926 eV per cell

Cell: 9.621 9.621 3.620 Å, 90.00 90.00 90.00°
Sites, in units of the cell vectors:
Rb  0.000  0.000  0.000
Rb  0.500  0.500  0.000
La  0.120  0.380  0.000
La  0.380  0.880  0.000
La  0.620  0.120  0.000
La  0.880  0.620  0.000
Hg  0.173  0.673  0.500
Hg  0.327  0.173  0.500
Hg  0.673  0.827  0.500
Hg  0.827  0.327  0.500



# 9
Entry from Alexandria: crystalline RbLa2Hg at its relaxed geometry (PBE).

Computed properties:
Calculated volume   157.3 Å³/f.u.
Formation enthalpy at 0 K   232 meV/atom
Total energy   -40.782 eV per cell

Cell: 9.379 9.379 7.153 Å, 90.00 90.00 90.00°
Sites, in units of the cell vectors:
Rb  0.000  0.000  0.000
Rb  0.000  0.500  0.250
Rb  0.500  0.000  0.750
Rb  0.500  0.500  0.500
La  0.204  0.250  0.625
La  0.250  0.704  0.875
La  0.250  0.796  0.375
La  0.296  0.250  0.125
La  0.704  0.750  0.125
La  0.750  0.204  0.375
La  0.750  0.296  0.875
La  0.796  0.750  0.625
Hg  0.000  0.000  0.500
Hg  0.000  0.500  0.750
Hg  0.500  0.000  0.250
Hg  0.500  0.500  0.000



# 10
Entry from Alexandria: crystalline RbLa2Hg2 at its relaxed geometry (PBE).

Computed properties:
Calculated volume   188.4 Å³/f.u.
Formation enthalpy at 0 K   -91 meV/atom
Total energy   -23.764 eV per cell

Cell: 4.958 4.958 15.322 Å, 90.00 90.00 90.00°
Sites, in units of the cell vectors:
Rb  0.000  0.000  0.000
Rb  0.500  0.500  0.500
La  0.000  0.500  0.250
La  0.000  0.500  0.750
La  0.500  0.000  0.250
La  0.500  0.000  0.750
Hg  0.000  0.000  0.399
Hg  0.000  0.000  0.601
Hg  0.500  0.500  0.101
Hg  0.500  0.500  0.899



# 11
Entry from Alexandria: crystalline RbLaHg2 at its relaxed geometry (PBE).

Computed properties:
Calculated volume   158.8 Å³/f.u.
Formation enthalpy at 0 K   20 meV/atom
Total energy   -25.670 eV per cell

Cell: 8.922 8.922 7.980 Å, 90.00 90.00 90.00°
Sites, in units of the cell vectors:
Rb  0.000  0.000  0.000
Rb  0.000  0.500  0.250
Rb  0.500  0.000  0.750
Rb  0.500  0.500  0.500
La  0.000  0.000  0.500
La  0.000  0.500  0.750
La  0.500  0.000  0.250
La  0.500  0.500  0.000
Hg  0.221  0.250  0.625
Hg  0.250  0.721  0.875
Hg  0.250  0.779  0.375
Hg  0.279  0.250  0.125
Hg  0.721  0.750  0.125
Hg  0.750  0.221  0.375
Hg  0.750  0.279  0.875
Hg  0.779  0.750  0.625



# 12
Entry from Alexandria: crystalline Rb2LaHg2 at its relaxed geometry (PBE).

Computed properties:
Calculated volume   211.3 Å³/f.u.
Formation enthalpy at 0 K   -31 meV/atom
Total energy   -15.241 eV per cell

Cell: 8.227 8.227 6.244 Å, 90.00 90.00 90.00°
Sites, in units of the cell vectors:
Rb  0.173  0.327  0.000
Rb  0.327  0.827  0.000
Rb  0.673  0.173  0.000
Rb  0.827  0.673  0.000
La  0.000  0.000  0.500
La  0.500  0.500  0.500
Hg  0.128  0.628  0.500
Hg  0.372  0.128  0.500
Hg  0.628  0.872  0.500
Hg  0.872  0.372  0.500